Entry 1:
{"formula": "VTeIO2", "functional": "PBE+U", "state": "relaxed", "lattice_angstrom": [[4.0949, 0.0000, 0.0000], [0.0000, 5.9994, 0.0000], [0.0000, 0.0000, 4.0949]], "species": ["O", "O", "I", "V", "Te"], "frac_coords": [[0.0000, 0.0000, 0.5000], [0.5000, 0.0000, 0.0000], [0.5000, 0.5000, 0.5000], [0.0000, 0.5000, 0.0000], [0.0000, 0.0000, 0.0000]], "spacegroup": "P4/mmm, No. 123", "m_tot_mub_per_cell": 3.54}

---

Entry 2:
{"formula": "Te2WIO", "functional": "PBE+U", "state": "relaxed", "lattice_angstrom": [[5.2555, 0.0000, 0.0000], [0.0000, 5.2555, 0.0000], [0.0000, 0.0000, 5.5379]], "species": ["Te", "Te", "W", "O", "I"], "frac_coords": [[0.5000, 0.0000, 0.0000], [0.0000, 0.5000, 0.0000], [0.0000, 0.0000, 0.0000], [0.5000, 0.5000, 0.5000], [0.0000, 0.0000, 0.5000]], "spacegroup": "P4/mmm, No. 123", "m_tot_mub_per_cell": 0.00}

---

Entry 3:
{"formula": "Te2WIO", "functional": "PBE+U", "state": "relaxed", "lattice_angstrom": [[-1.6328, -4.1462, -0.5437], [3.0928, -1.5902, 2.8386], [-4.3131, 1.0082, 5.2641]], "species": ["Te", "Te", "W", "O", "I"], "frac_coords": [[0.5000, 0.0000, 0.0000], [0.0000, 0.5000, 0.0000], [0.5000, 0.5000, 0.5000], [0.0000, 0.0000, 0.0000], [0.0000, 0.0000, 0.5000]], "spacegroup": "P4/mmm, No. 123", "m_tot_mub_per_cell": 4.09}

---

Number 1: energy above the lowest structure with this stoichiometry 166.6 meV/atom. Number 2: energy above the lowest structure with this stoichiometry 685.6 meV/atom. Number 3: energy above the lowest structure with this stoichiometry 0.0 meV/atom.